# 1
VASP calculation (PBE) on a relaxed Dy5Er2 crystal.

a = 3.503 Å, b = 8.663 Å, c = 8.682 Å
α = 58.55°, β = 101.63°, γ = 90.00°
Fractional positions:
Dy: 0.358 0.448 0.715
Dy: 0.642 0.552 0.285
Dy: 0.000 0.000 0.000
Dy: 0.930 0.711 0.860
Dy: 0.070 0.289 0.140
Er: 0.296 0.115 0.591
Er: 0.704 0.885 0.409

Computed properties:
Formation energy ... 39 meV/atom
Spin magnetization ... 0.000 μB/f.u.
Energy ... -4.552 eV/atom
N(E_F) ... 10.6 states/eV/f.u.



# 2
VASP calculation (PBE) on a relaxed Sc2MnHg crystal.

a = 3.325 Å, b = 3.207 Å, c = 7.947 Å
α = 66.20°, β = 90.00°, γ = 90.00°
Last column: magnetic moment on the atom in μB.
Fractional positions:
Hg: 0.500 0.250 0.250  -0.01
Mn: 0.500 0.750 0.750  2.40
Sc: 0.000 0.030 0.970  -0.27
Sc: 0.000 0.470 0.530  -0.27

Computed properties:
Formation energy ... -191 meV/atom
Spin magnetization ... 1.719 μB/f.u.
Energy ... -5.725 eV/atom
N(E_F) ... 4.2 states/eV/f.u.